(1)
The following is a DFT calculation (GGA-PBE) of an optimized crystal structure of Ce2NdNi.

Unit cell a=3.7199 b=3.7199 c=9.5026 alpha=78.71 beta=78.71 gamma=60.00
Site moments in Bohr magnetons follow the coordinates.
Fractional coordinates of all 4 atoms:
Ce  0.0624  0.0624  0.8128  0.43
Ce  0.2717  0.2717  0.1848  -0.69
Nd  0.4984  0.4984  0.5047  -0.01
Ni  0.6674  0.6674  0.9977  0.00

Output
magnetization	0.37	Bohr magnetons per cell
space-group type	No. 160
electronic total energy	-0.41302	Ry/atom

(2)
The following is a DFT calculation (GGA-PBE) of an optimized crystal structure of CaTePt2.

Unit cell a=4.4149 b=4.4149 c=4.0880 alpha=90.00 beta=90.00 gamma=90.25
Fractional coordinates of all 4 atoms:
Te  0.5000  0.0000  0.5000
Pt  0.0000  0.0000  0.0000
Pt  0.5000  0.5000  0.0000
Ca  0.0000  0.5000  0.5000

Output
magnetization	0.00	Bohr magnetons per cell
E_form (uncorrected)	-0.539	eV/atom
space-group type	No. 65
electronic total energy	-0.35609	Ry/atom

(3)
The following is a DFT calculation (GGA-PBE) of an optimized crystal structure of Ta2RuSe.

Unit cell a=5.2199 b=5.2199 c=7.7546 alpha=70.33 beta=70.33 gamma=90.00
Fractional coordinates of all 8 atoms:
Ta  0.3750  0.3601  0.7500
Ta  0.6399  0.1250  0.2500
Ta  0.1101  0.6250  0.2500
Ta  0.8750  0.8899  0.7500
Se  0.2500  0.7500  0.5000
Se  0.5000  0.5000  0.0000
Ru  0.7500  0.2500  0.5000
Ru  0.0000  0.0000  0.0000

Output
magnetization	0.00	Bohr magnetons per cell
E_form (uncorrected)	0.651	eV/atom
space-group type	No. 122
electronic total energy	-0.62223	Ry/atom

Question: magnetization of number 1 (Ce2NdNi)?
Answer: 0.37 Bohr magnetons per cell